Below is crystalline SiHPd at its relaxed geometry, with properties calculated at the PBE level.

Computed properties:
* DFT total energy: -0.3498 Ry per atom
* SG: P-1 (2)

Unit cell a=2.7390 b=3.9703 c=9.5751 alpha=104.73 beta=98.59 gamma=89.99
Positions (direct):
Pd 0.2992 0.3076 0.0943
Si 0.8444 0.8603 0.1808
H 0.9766 0.4340 0.4635
H 0.0234 0.5660 0.5365
Pd 0.7008 0.6924 0.9057
Si 0.1556 0.1397 0.8192

Below is crystalline LiAg2SnBr6 at its relaxed geometry, with properties calculated at the PBE level.

Computed properties:
* DFT total energy: -0.2072 Ry per atom
* SG: R3 (146)
* ΔE_f (raw): -654 meV per atom

Unit cell a=7.1353 b=7.1374 c=7.6684 alpha=62.24 beta=62.25 gamma=60.00
Positions (direct):
Ag 0.5188 0.5185 0.4441
Li 0.3179 0.3180 0.0461
Br 0.4256 0.7178 0.7622
Br 0.7175 0.0948 0.7619
Sn 0.8234 0.8234 0.5297
Br 0.5941 0.2233 0.2537
Br 0.9289 0.5940 0.2539
Ag 0.0174 0.0176 0.9474
Br 0.2233 0.9286 0.2541
Br 0.0946 0.4257 0.7622

| no. | V (Å³/atom) | M_tot (μB per atom) |
| --- | --- | --- |
| 1 | 16.6 | 0.000 |
| 2 | 28.5 | 0.000 |